Entry 1:
Sm4Cu3Ir: relaxed, PBE-GGA.

POSCAR file:
```
Sm4Cu3Ir
1.0
3.876 0.000 0.000
0.000 4.470 0.000
0.000 0.000 10.611
Sm Cu Ir
4 3 1
Direct
0.000 0.000 0.000
0.000 0.500 0.271
0.500 0.000 0.486
0.500 0.500 0.773
0.000 0.000 0.699
0.000 0.500 0.564
0.500 0.500 0.059
0.500 0.000 0.211
```

Its symmetry is Pmm2 (25). The formation energy comes out at -0.3662 eV/atom. Its calculated total energy is -43.0 eV/cell.


Entry 2:
Sm3Cu2Ir: relaxed, PBE-GGA.

POSCAR file:
```
Sm3Cu2Ir
1.0
11.777 0.000 0.000
0.000 4.249 0.000
0.000 0.000 11.422
Sm Cu Ir
12 8 4
Direct
0.051 0.250 0.123
0.117 0.750 0.555
0.227 0.250 0.795
0.273 0.750 0.295
0.383 0.250 0.055
0.449 0.750 0.623
0.551 0.250 0.377
0.617 0.750 0.945
0.727 0.250 0.705
0.773 0.750 0.205
0.883 0.250 0.445
0.949 0.750 0.877
0.010 0.750 0.306
0.195 0.750 0.000
0.305 0.250 0.500
0.490 0.250 0.806
0.510 0.750 0.194
0.695 0.750 0.500
0.805 0.250 0.000
0.990 0.250 0.694
0.122 0.250 0.368
0.378 0.750 0.868
0.622 0.250 0.132
0.878 0.750 0.632
```

Its symmetry is Pnma (62). The formation energy comes out at -0.3615 eV/atom. Its calculated total energy is -133.5 eV/cell.